# 1
TbErTm5 (PBE-GGA, relaxed); E_form = 0.262 eV/atom; DOS at the Fermi energy = 1.34 states/eV/atom; offset from the most stable computed form = 0.057 eV per atom; final energy = -0.3120 Ry/atom; density = 9.005 Mg/m³
1.0
-5.081 1.794 -8.700
5.269 -1.652 -3.418
-1.096 -3.161 6.007
Tb Tm Er
1 5 1
Direct
0.719 0.000 0.000
0.371 0.228 0.000
0.117 0.500 0.000
0.294 0.228 0.455
0.839 0.772 0.545
0.371 0.772 0.000
0.820 0.500 0.000

# 2
Tb12Er5Tm2 (PBE-GGA, relaxed); E_form = 0.071 eV/atom; DOS at the Fermi energy = 1.46 states/eV/atom; offset from the most stable computed form = 0.000 eV per atom; final energy = -0.3326 Ry/atom; density = 8.566 Mg/m³
1.0
-1.901 -5.128 -2.924
9.371 1.039 8.181
-10.417 5.303 5.529
Tb Er Tm
12 5 2
Direct
0.630 0.889 0.657
0.244 0.547 0.162
0.847 0.734 0.780
0.124 0.775 0.327
0.632 0.675 0.000
0.203 0.323 0.499
0.370 0.111 0.343
0.368 0.325 0.000
0.797 0.677 0.501
0.876 0.225 0.673
0.756 0.453 0.838
0.153 0.266 0.220
0.000 0.000 0.500
0.028 0.528 0.642
0.972 0.472 0.358
0.493 0.110 0.830
0.507 0.890 0.170
0.372 0.080 0.076
0.628 0.920 0.924

# 3
Tb2Er2Tm3 (PBE-GGA, relaxed); E_form = 0.118 eV/atom; DOS at the Fermi energy = 1.59 states/eV/atom; offset from the most stable computed form = 0.000 eV per atom; final energy = -0.3252 Ry/atom; density = 8.810 Mg/m³
1.0
-0.327 -1.295 -3.191
7.779 2.703 -1.893
-0.880 -7.206 4.889
Tm Er Tb
3 2 2
Direct
0.000 0.500 0.000
0.212 0.804 0.424
0.788 0.196 0.576
0.565 0.906 0.130
0.435 0.094 0.870
0.146 0.323 0.293
0.854 0.677 0.707